w:
Computed, not measured: Sm4ZnCd after structural relaxation at the PBE level of DFT.

abc: 5.084 5.084 7.436
angles: 89.98 89.99 90.00
Positions (direct):
Sm (0.501, 0.998, 0.734)
Zn (0.001, 0.997, 0.498)
Cd (0.501, 0.497, 0.998)
Sm (0.501, 0.997, 0.262)
Sm (0.001, 0.497, 0.262)
Sm (0.001, 0.497, 0.734)

Total moment, μB per atom: 0.0003
SG: P4/mmm


x:
Computed, not measured: Sm4ZnCd after structural relaxation at the PBE level of DFT.

abc: 3.664 3.664 12.831
angles: 90.00 90.00 90.00
Positions (direct):
Sm (0.000, 0.000, 0.339)
Cd (0.500, 0.500, 0.500)
Sm (0.500, 0.500, 0.141)
Sm (0.500, 0.500, 0.859)
Sm (0.000, 0.000, 0.661)
Zn (0.000, 0.000, 0.000)

Total moment, μB per atom: 0.0327
SG: P4/mmm


Last place for stability: w


w:
Computed, not measured: SmZrCd4 after structural relaxation at the PBE level of DFT.

abc: 5.832 5.832 5.832
angles: 60.00 60.00 60.00
Positions (direct):
Sm (0.250, 0.250, 0.250)
Cd (0.124, 0.625, 0.625)
Cd (0.625, 0.625, 0.625)
Cd (0.625, 0.124, 0.625)
Zr (0.000, 0.000, 0.000)
Cd (0.625, 0.625, 0.124)

Total moment, μB per atom: 0.3408
SG: F-43m


x:
Computed, not measured: SmZrCd4 after structural relaxation at the PBE level of DFT.

abc: 4.955 4.955 6.603
angles: 89.94 89.94 60.01
Positions (direct):
Cd (0.167, 0.167, 0.265)
Sm (0.500, 0.500, 0.000)
Cd (0.833, 0.833, 0.265)
Zr (0.500, 0.500, 0.500)
Cd (0.167, 0.167, 0.735)
Cd (0.833, 0.833, 0.735)

Total moment, μB per atom: 0.0000
SG: C2/m


Last place for stability: w


w:
Computed, not measured: SmZrCd after structural relaxation at the PBE level of DFT.

abc: 5.024 5.024 8.515
angles: 72.84 72.84 60.00
Positions (direct):
Zr (0.801, 0.801, 0.598)
Cd (0.500, 0.500, 0.500)
Sm (0.379, 0.379, 0.864)
Zr (0.199, 0.199, 0.402)
Sm (0.621, 0.621, 0.136)
Cd (0.000, 0.000, 0.000)

Total moment, μB per atom: 0.2741
SG: R-3m


x:
Computed, not measured: SmZrCd after structural relaxation at the PBE level of DFT.

abc: 3.434 3.434 7.017
angles: 104.16 104.16 90.00
Positions (direct):
Zr (0.324, 0.324, 0.647)
Cd (0.677, 0.677, 0.355)
Sm (0.999, 0.999, 0.998)

Total moment, μB per atom: 0.0000
SG: I4mm


y:
Computed, not measured: SmZrCd after structural relaxation at the PBE level of DFT.

abc: 3.428 5.160 5.160
angles: 120.00 90.00 90.00
Positions (direct):
Cd (0.166, 0.333, 0.667)
Zr (0.167, 0.000, 0.000)
Sm (0.667, 0.667, 0.333)

Total moment, μB per atom: 0.0000
SG: P-6m2


Last place for stability: w


w:
Computed, not measured: Cd13Sn2 after structural relaxation at the PBE level of DFT.

abc: 5.725 7.267 9.828
angles: 119.75 94.99 90.72
Positions (direct):
Cd (0.803, 0.211, 0.806)
Cd (0.000, 0.000, 0.000)
Cd (0.403, 0.593, 0.393)
Cd (0.597, 0.407, 0.607)
Cd (0.471, 0.869, 0.807)
Sn (0.935, 0.742, 0.599)
Cd (0.197, 0.789, 0.194)
Cd (0.667, 0.670, 0.003)
Cd (0.290, 0.069, 0.608)
Sn (0.065, 0.258, 0.401)
Cd (0.529, 0.131, 0.193)
Cd (0.136, 0.534, 0.804)
Cd (0.333, 0.330, 0.997)
Cd (0.864, 0.466, 0.196)
Cd (0.710, 0.931, 0.392)

Total moment, μB per atom: 0.0000
SG: P-1


x:
Computed, not measured: Cd13Sn2 after structural relaxation at the PBE level of DFT.

abc: 7.880 7.880 9.082
angles: 64.29 64.29 60.00
Positions (direct):
Cd (0.615, 0.002, 0.768)
Cd (0.127, 0.754, 0.365)
Cd (0.385, 0.385, 0.232)
Cd (0.385, 0.998, 0.232)
Sn (0.364, 0.364, 0.908)
Cd (0.002, 0.615, 0.768)
Cd (0.246, 0.873, 0.635)
Cd (0.500, 0.500, 0.500)
Cd (0.615, 0.615, 0.768)
Cd (0.754, 0.754, 0.365)
Cd (0.754, 0.127, 0.365)
Cd (0.998, 0.385, 0.232)
Cd (0.873, 0.246, 0.635)
Cd (0.246, 0.246, 0.635)
Sn (0.636, 0.636, 0.092)

Total moment, μB per atom: 0.0000
SG: R-3m


Last place for stability: x